Ga2CoSiO6 | Alexandria via LeMat-Bulk | PBE+U | optimized geometry; raw total energy = -6.5072 eV per atom; magnetic moment = 6.036 μB per cell; DOS at the Fermi energy = 0.00 states/eV/f.u.; ρ = 4.5 g cm⁻³
1.0
4.5676 -5.2978 0.0000
4.5676 5.2978 0.0000
-2.2720 0.0000 4.9151
Ga Co Si O
4 2 2 12
Direct
0.0501 0.2203 0.1677 Ga
0.2203 0.0501 0.6677 Ga
0.7797 0.9499 0.3323 Ga
0.9499 0.7797 0.8323 Ga
0.4047 0.5953 0.7500 Co
0.5953 0.4047 0.2500 Co
0.3213 0.6787 0.2500 Si
0.6787 0.3213 0.7500 Si
0.0534 0.1920 0.4990 O
0.1553 0.6475 0.9545 O
0.1920 0.0534 0.9990 O
0.3001 0.4619 0.3257 O
0.3525 0.8447 0.5455 O
0.4619 0.3001 0.8257 O
0.5381 0.6999 0.1743 O
0.6475 0.1553 0.4545 O
0.6999 0.5381 0.6743 O
0.8080 0.9466 0.0010 O
0.8447 0.3525 0.0455 O
0.9466 0.8080 0.5010 O